# GGA-PBE CdReTe2, optimized geometry
# Calculated total energy ... -3.942 eV per atom
# Formation energy from raw total energies ... 0.970 eV/atom
# Magnetic moment ... 0.909 μB/f.u.
data_CdReTe2
_chemical_formula_sum 'Cd2 Re2 Te4'
_space_group_name_H-M_alt 'I -4 m 2'
_space_group_IT_number 119
_space_group_name_Hall 'I -4 -2'
_cell_length_a 4.340
_cell_length_b 4.340
_cell_length_c 9.341
_cell_angle_alpha 90.00
_cell_angle_beta 90.00
_cell_angle_gamma 90.00
loop_
_atom_site_label
_atom_site_type_symbol
_atom_site_fract_x
_atom_site_fract_y
_atom_site_fract_z
Cd1 Cd 0.000 0.000 0.000
Re1 Re 0.000 0.500 0.750
Te1 Te 0.000 0.000 0.500
Te2 Te 0.000 0.500 0.250



# GGA-PBE CdReTe2, optimized geometry
# Calculated total energy ... -4.073 eV per atom
# Formation energy from raw total energies ... 0.839 eV/atom
# Magnetic moment ... 1.326 μB/f.u.
data_CdReTe2
_chemical_formula_sum 'Cd1 Re1 Te2'
_space_group_name_H-M_alt 'P 4/m m m'
_space_group_IT_number 123
_space_group_name_Hall '-P 4 2'
_cell_length_a 5.079
_cell_length_b 5.079
_cell_length_c 3.400
_cell_angle_alpha 90.00
_cell_angle_beta 90.00
_cell_angle_gamma 90.00
loop_
_atom_site_label
_atom_site_type_symbol
_atom_site_fract_x
_atom_site_fract_y
_atom_site_fract_z
Cd1 Cd 0.000 0.000 0.000
Re1 Re 0.500 0.500 0.000
Te1 Te 0.000 0.500 0.500



# GGA-PBE Cd2ReTe, optimized geometry
# Calculated total energy ... -3.698 eV per atom
# Formation energy from raw total energies ... 0.657 eV/atom
# Magnetic moment ... 0.330 μB/f.u.
data_Cd2ReTe
_chemical_formula_sum 'Cd8 Re4 Te4'
_space_group_name_H-M_alt 'I 41/a m d'
_space_group_IT_number 141
_cell_length_a 10.635
_cell_length_b 10.635
_cell_length_c 4.998
_cell_angle_alpha 90.00
_cell_angle_beta 90.00
_cell_angle_gamma 90.00
loop_
_space_group_symop_operation_xyz
'x,y,z'
'-x,-y,-z'
'-y+1/4,x+3/4,z+1/4'
'y+1/4,-x+3/4,-z+1/4'
'-x+1/2,-y,z+1/2'
'x+1/2,y,-z+1/2'
'y+1/4,-x+1/4,z+3/4'
'-y+1/4,x+1/4,-z+3/4'
'x,-y,-z'
'-x,y,z'
'-y+1/4,-x+1/4,-z+3/4'
'y+1/4,x+1/4,z+3/4'
'-x+1/2,y,-z+1/2'
'x+1/2,-y,z+1/2'
'y+1/4,x+3/4,-z+1/4'
'-y+1/4,-x+3/4,z+1/4'
'x+1/2,y+1/2,z+1/2'
'-x+1/2,-y+1/2,-z+1/2'
'-y+3/4,x+1/4,z+3/4'
'y+3/4,-x+1/4,-z+3/4'
'-x,-y+1/2,z'
'x,y+1/2,-z'
'y+3/4,-x+3/4,z+1/4'
'-y+3/4,x+3/4,-z+1/4'
'x+1/2,-y+1/2,-z+1/2'
'-x+1/2,y+1/2,z+1/2'
'-y+3/4,-x+3/4,-z+1/4'
'y+3/4,x+3/4,z+1/4'
'-x,y+1/2,-z'
'x,-y+1/2,z'
'y+3/4,x+1/4,-z+3/4'
'-y+3/4,-x+1/4,z+3/4'
loop_
_atom_site_label
_atom_site_type_symbol
_atom_site_fract_x
_atom_site_fract_y
_atom_site_fract_z
Cd1 Cd 0.000 0.000 0.000
Re1 Re 0.000 0.250 0.875
Te1 Te 0.000 0.250 0.375



# GGA-PBE Cd2ReTe, optimized geometry
# Calculated total energy ... -3.750 eV per atom
# Formation energy from raw total energies ... 0.605 eV/atom
# Magnetic moment ... 0.000 μB/f.u.
data_Cd2ReTe
_chemical_formula_sum 'Cd6 Re3 Te3'
_space_group_name_H-M_alt 'R -3 m'
_space_group_IT_number 166
_space_group_name_Hall '-R 3 2"'
_cell_length_a 3.0064
_cell_length_b 3.0064
_cell_length_c 33.2767
_cell_angle_alpha 90.00
_cell_angle_beta 90.00
_cell_angle_gamma 120.00
loop_
_atom_site_label
_atom_site_type_symbol
_atom_site_fract_x
_atom_site_fract_y
_atom_site_fract_z
Cd1 Cd 0.0000 0.0000 0.2372
Re1 Re 0.0000 0.0000 0.5000
Te1 Te 0.0000 0.0000 0.0000



# GGA-PBE CdReTe2, optimized geometry
# Calculated total energy ... -3.801 eV per atom
# Formation energy from raw total energies ... 1.111 eV/atom
# Magnetic moment ... 1.205 μB/f.u.
data_CdReTe2
_chemical_formula_sum 'Cd4 Re4 Te8'
_space_group_name_H-M_alt 'F -4 3 m'
_space_group_IT_number 216
_space_group_name_Hall 'F -4 2 3'
_cell_length_a 7.098
_cell_length_b 7.098
_cell_length_c 7.098
_cell_angle_alpha 90.00
_cell_angle_beta 90.00
_cell_angle_gamma 90.00
loop_
_atom_site_label
_atom_site_type_symbol
_atom_site_fract_x
_atom_site_fract_y
_atom_site_fract_z
Cd1 Cd 0.000 0.000 0.000
Re1 Re 0.250 0.250 0.250
Te1 Te 0.000 0.000 0.500
Te2 Te 0.250 0.250 0.750



# GGA-PBE Cd2ReTe, optimized geometry
# Calculated total energy ... -3.565 eV per atom
# Formation energy from raw total energies ... 0.790 eV/atom
# Magnetic moment ... 1.107 μB/f.u.
data_Cd2ReTe
_chemical_formula_sum 'Cd4 Re2 Te2'
_space_group_name_H-M_alt 'I -4 m 2'
_space_group_IT_number 119
_space_group_name_Hall 'I -4 -2'
_cell_length_a 4.404
_cell_length_b 4.404
_cell_length_c 8.460
_cell_angle_alpha 90.00
_cell_angle_beta 90.00
_cell_angle_gamma 90.00
loop_
_atom_site_label
_atom_site_type_symbol
_atom_site_fract_x
_atom_site_fract_y
_atom_site_fract_z
Cd1 Cd 0.000 0.000 0.000
Cd2 Cd 0.000 0.500 0.250
Re1 Re 0.000 0.500 0.750
Te1 Te 0.000 0.000 0.500



# GGA-PBE Cd2ReTe, optimized geometry
# Calculated total energy ... -3.630 eV per atom
# Formation energy from raw total energies ... 0.725 eV/atom
# Magnetic moment ... 0.000 μB/f.u.
data_Cd2ReTe
_chemical_formula_sum 'Cd4 Re2 Te2'
_space_group_name_H-M_alt 'C m m m'
_space_group_IT_number 65
_space_group_name_Hall '-C 2 2'
_cell_length_a 5.961
_cell_length_b 9.226
_cell_length_c 2.983
_cell_angle_alpha 90.00
_cell_angle_beta 90.00
_cell_angle_gamma 90.00
loop_
_atom_site_label
_atom_site_type_symbol
_atom_site_fract_x
_atom_site_fract_y
_atom_site_fract_z
Cd1 Cd 0.250 0.250 0.000
Re1 Re 0.000 0.000 0.500
Te1 Te 0.000 0.500 0.500



# GGA-PBE CdReTe2, optimized geometry
# Calculated total energy ... -4.084 eV per atom
# Formation energy from raw total energies ... 0.827 eV/atom
# Magnetic moment ... 0.002 μB/f.u.
data_CdReTe2
_chemical_formula_sum 'Cd2 Re2 Te4'
_space_group_name_H-M_alt 'C m m m'
_space_group_IT_number 65
_space_group_name_Hall '-C 2 2'
_cell_length_a 6.327
_cell_length_b 7.781
_cell_length_c 3.519
_cell_angle_alpha 90.00
_cell_angle_beta 90.00
_cell_angle_gamma 90.00
loop_
_atom_site_label
_atom_site_type_symbol
_atom_site_fract_x
_atom_site_fract_y
_atom_site_fract_z
Cd1 Cd 0.000 0.000 0.000
Re1 Re 0.000 0.500 0.000
Te1 Te 0.250 0.250 0.500



# GGA-PBE Cd2ReTe, optimized geometry
# Calculated total energy ... -3.631 eV per atom
# Formation energy from raw total energies ... 0.724 eV/atom
# Magnetic moment ... 0.000 μB/f.u.
data_Cd2ReTe
_chemical_formula_sum 'Cd2 Re1 Te1'
_space_group_name_H-M_alt 'P m m m'
_space_group_IT_number 47
_cell_length_a 2.952
_cell_length_b 4.376
_cell_length_c 6.648
_cell_angle_alpha 90.00
_cell_angle_beta 90.00
_cell_angle_gamma 90.00
loop_
_space_group_symop_operation_xyz
'x,y,z'
'-x,-y,-z'
'-x,-y,z'
'x,y,-z'
'x,-y,-z'
'-x,y,z'
'-x,y,-z'
'x,-y,z'
loop_
_atom_site_label
_atom_site_type_symbol
_atom_site_fract_x
_atom_site_fract_y
_atom_site_fract_z
Cd1 Cd 0.000 0.000 0.207
Re1 Re 0.500 0.500 0.000
Te1 Te 0.500 0.500 0.500



# GGA-PBE Cd2ReTe, optimized geometry
# Calculated total energy ... -3.592 eV per atom
# Formation energy from raw total energies ... 0.763 eV/atom
# Magnetic moment ... 0.003 μB/f.u.
data_Cd2ReTe
_chemical_formula_sum 'Cd2 Re1 Te1'
_space_group_name_H-M_alt 'P 4/m m m'
_space_group_IT_number 123
_space_group_name_Hall '-P 4 2'
_cell_length_a 3.829
_cell_length_b 3.829
_cell_length_c 5.653
_cell_angle_alpha 90.00
_cell_angle_beta 90.00
_cell_angle_gamma 90.00
loop_
_atom_site_label
_atom_site_type_symbol
_atom_site_fract_x
_atom_site_fract_y
_atom_site_fract_z
Cd1 Cd 0.000 0.000 0.235
Re1 Re 0.500 0.500 0.000
Te1 Te 0.500 0.500 0.500



# GGA-PBE CdReTe3, optimized geometry
# Calculated total energy ... -3.934 eV per atom
# Distance to the lowest polymorph of the same formula ... 0 meV/atom
# Formation energy from raw total energies ... 0.624 eV/atom
# Magnetic moment ... 0.000 μB/f.u.
data_CdReTe3
_chemical_formula_sum 'Cd1 Re1 Te3'
_space_group_name_H-M_alt 'P m -3 m'
_space_group_IT_number 221
_space_group_name_Hall '-P 4 2 3'
_cell_length_a 5.299
_cell_length_b 5.299
_cell_length_c 5.299
_cell_angle_alpha 90.00
_cell_angle_beta 90.00
_cell_angle_gamma 90.00
loop_
_atom_site_label
_atom_site_type_symbol
_atom_site_fract_x
_atom_site_fract_y
_atom_site_fract_z
Cd1 Cd 0.000 0.000 0.000
Re1 Re 0.500 0.500 0.500
Te1 Te 0.000 0.500 0.500



# GGA-PBE Cd2ReTe, optimized geometry
# Calculated total energy ... -3.733 eV per atom
# Formation energy from raw total energies ... 0.622 eV/atom
# Magnetic moment ... 0.000 μB/f.u.
data_Cd2ReTe
_chemical_formula_sum 'Cd4 Re2 Te2'
_space_group_name_H-M_alt 'C m m m'
_space_group_IT_number 65
_space_group_name_Hall '-C 2 2'
_cell_length_a 3.387
_cell_length_b 4.738
_cell_length_c 10.900
_cell_angle_alpha 90.00
_cell_angle_beta 90.00
_cell_angle_gamma 90.00
loop_
_atom_site_label
_atom_site_type_symbol
_atom_site_fract_x
_atom_site_fract_y
_atom_site_fract_z
Cd1 Cd 0.000 0.000 0.210
Re1 Re 0.000 0.500 0.000
Te1 Te 0.000 0.500 0.500



# GGA-PBE CdReTe2, optimized geometry
# Calculated total energy ... -4.316 eV per atom
# Formation energy from raw total energies ... 0.596 eV/atom
# Magnetic moment ... 0.000 μB/f.u.
data_CdReTe2
_chemical_formula_sum 'Cd2 Re2 Te4'
_space_group_name_H-M_alt 'C m m 2'
_space_group_IT_number 35
_cell_length_a 3.339
_cell_length_b 5.281
_cell_length_c 10.875
_cell_angle_alpha 90.00
_cell_angle_beta 90.00
_cell_angle_gamma 90.00
loop_
_space_group_symop_operation_xyz
'x,y,z'
'-x,-y,z'
'-x,y,z'
'x,-y,z'
'x+1/2,y+1/2,z'
'-x+1/2,-y+1/2,z'
'-x+1/2,y+1/2,z'
'x+1/2,-y+1/2,z'
loop_
_atom_site_label
_atom_site_type_symbol
_atom_site_fract_x
_atom_site_fract_y
_atom_site_fract_z
Cd1 Cd 0.000 0.000 0.000
Re1 Re 0.000 0.500 0.790
Te1 Te 0.000 0.000 0.600
Te2 Te 0.000 0.500 0.265



# GGA-PBE CdReTe4, optimized geometry
# Calculated total energy ... -3.090 eV per atom
# Formation energy from raw total energies ... 1.231 eV/atom
# Magnetic moment ... 4.915 μB/f.u.
data_CdReTe4
_chemical_formula_sum 'Cd4 Re4 Te16'
_space_group_name_H-M_alt 'F -4 3 m'
_space_group_IT_number 216
_space_group_name_Hall 'F -4 2 3'
_cell_length_a 8.967
_cell_length_b 8.967
_cell_length_c 8.967
_cell_angle_alpha 90.00
_cell_angle_beta 90.00
_cell_angle_gamma 90.00
loop_
_atom_site_label
_atom_site_type_symbol
_atom_site_fract_x
_atom_site_fract_y
_atom_site_fract_z
Cd1 Cd 0.000 0.000 0.000
Re1 Re 0.250 0.250 0.750
Te1 Te 0.124 0.124 0.376



# GGA-PBE Cd2ReTe, optimized geometry
# Calculated total energy ... -3.594 eV per atom
# Formation energy from raw total energies ... 0.761 eV/atom
# Magnetic moment ... 0.023 μB/f.u.
data_Cd2ReTe
_chemical_formula_sum 'Cd4 Re2 Te2'
_space_group_name_H-M_alt 'I 4/m m m'
_space_group_IT_number 139
_space_group_name_Hall '-I 4 2'
_cell_length_a 4.062
_cell_length_b 4.062
_cell_length_c 9.776
_cell_angle_alpha 90.00
_cell_angle_beta 90.00
_cell_angle_gamma 90.00
loop_
_atom_site_label
_atom_site_type_symbol
_atom_site_fract_x
_atom_site_fract_y
_atom_site_fract_z
Cd1 Cd 0.000 0.500 0.250
Re1 Re 0.000 0.000 0.000
Te1 Te 0.000 0.000 0.500



| no. | D(E_F) (states/eV per atom) |
| --- | --- |
| 1 | 1.06 |
| 2 | 0.92 |
| 3 | 0.64 |
| 4 | 0.84 |
| 5 | 1.05 |
| 6 | 0.92 |
| 7 | 0.92 |
| 8 | 1.09 |
| 9 | 0.72 |
| 10 | 0.92 |
| 11 | 1.49 |
| 12 | 0.47 |
| 13 | 0.74 |
| 14 | 0.60 |
| 15 | 0.68 |